# Ba2YFeO5 | Alexandria via LeMat-Bulk | GGA+U | optimized geometry
# Calculated total energy = -7.06 eV per atom
# Space-group type = Cmc2_1 (36)
# Size of the total moment = 4.937 μB/f.u.
data_Ba2YFeO5
_symmetry_space_group_name_H-M 'P 1'
_symmetry_Int_Tables_number 1
_symmetry_space_group_name_Hall 'P 1'
_cell_length_a 3.577
_cell_length_b 7.751
_cell_length_c 11.526
_cell_angle_alpha 90.00
_cell_angle_beta 90.00
_cell_angle_gamma 103.34
loop_
_atom_site_label
_atom_site_type_symbol
_atom_site_fract_x
_atom_site_fract_y
_atom_site_fract_z
Ba1 Ba 0.862 0.723 0.826
Ba2 Ba 0.106 0.211 0.672
Ba3 Ba 0.138 0.277 0.326
Ba4 Ba 0.894 0.789 0.172
Y1 Y 0.795 0.591 0.533
Y2 Y 0.205 0.409 0.033
Fe1 Fe 0.549 0.098 0.934
Fe2 Fe 0.451 0.902 0.434
O1 O 0.347 0.694 0.005
O2 O 0.675 0.349 0.901
O3 O 0.496 0.992 0.789
O4 O 0.289 0.579 0.656
O5 O 0.959 0.918 0.507
O6 O 0.653 0.306 0.505
O7 O 0.325 0.651 0.401
O8 O 0.504 0.008 0.289
O9 O 0.711 0.421 0.156
O10 O 0.041 0.082 0.007